Below is crystalline SmNbGe at its relaxed geometry, with properties calculated at the PBE-GGA level.

Calculated values
The symmetry is No. 216. The total energy comes out at -6.50 eV per atom.

a = 4.670 Å, b = 4.670 Å, c = 4.670 Å
α = 60.00°, β = 60.00°, γ = 60.00°
Fractional coordinates of all 3 atoms:
1 Ge 0.000 0.000 0.000
2 Nb 0.250 0.250 0.250
3 Sm 0.750 0.750 0.750